[1]
VASP calculation (PBE-GGA) on a geometry-optimized YCuOF2 structure.

Geometry as POSCAR:
```
YCuOF2
1.0
4.345 0.000 0.000
0.000 4.345 0.000
0.000 0.000 4.438
Y Cu O F
1 1 1 2
direct
0.000 0.000 0.000
0.500 0.500 0.500
0.000 0.000 0.500
0.000 0.500 0.000
0.500 0.000 0.000
```

Computed properties:
ΔE_f (raw) = -2261 meV/atom

[2]
VASP calculation (PBE-GGA) on a geometry-optimized YCuO2F structure.

Geometry as POSCAR:
```
YCuO2F
1.0
4.394 0.000 0.000
0.000 4.394 0.000
0.000 0.000 4.316
Y Cu O F
1 1 2 1
direct
0.000 0.000 0.000
0.500 0.500 0.500
0.000 0.500 0.000
0.500 0.000 0.000
0.000 0.000 0.500
```

Computed properties:
ΔE_f (raw) = -1612 meV/atom

[3]
VASP calculation (PBE-GGA) on a geometry-optimized YCuO2F structure.

Geometry as POSCAR:
```
YCuO2F
1.0
3.909 0.000 0.000
0.000 3.909 0.000
0.000 0.000 3.817
Y Cu O F
1 1 2 1
direct
0.000 0.000 0.000
0.500 0.500 0.500
0.000 0.500 0.500
0.500 0.000 0.500
0.500 0.500 0.000
```

Computed properties:
ΔE_f (raw) = -1931 meV/atom

[4]
VASP calculation (PBE-GGA) on a geometry-optimized YCuOF2 structure.

Geometry as POSCAR:
```
YCuOF2
1.0
4.039 0.000 0.000
0.000 4.039 0.000
0.000 0.000 3.883
Y Cu O F
1 1 1 2
direct
0.000 0.000 0.000
0.500 0.500 0.500
0.500 0.500 0.000
0.000 0.500 0.500
0.500 0.000 0.500
```

Computed properties:
ΔE_f (raw) = -1903 meV/atom

[5]
VASP calculation (PBE-GGA) on a geometry-optimized ZrCuOF2 structure.

Geometry as POSCAR:
```
ZrCuOF2
1.0
4.001 0.000 0.000
0.000 4.001 0.000
0.000 0.000 3.851
Zr Cu O F
1 1 1 2
direct
0.000 0.000 0.000
0.500 0.500 0.500
0.500 0.500 0.000
0.000 0.500 0.500
0.500 0.000 0.500
```

Computed properties:
ΔE_f (raw) = -1226 meV/atom

[6]
VASP calculation (PBE-GGA) on a geometry-optimized ZrCuOF2 structure.

Geometry as POSCAR:
```
ZrCuOF2
1.0
4.300 0.000 0.000
0.000 4.300 0.000
0.000 0.000 4.058
Zr Cu O F
1 1 1 2
direct
0.000 0.000 0.000
0.500 0.500 0.500
0.000 0.000 0.500
0.000 0.500 0.000
0.500 0.000 0.000
```

Computed properties:
ΔE_f (raw) = -2079 meV/atom

[7]
VASP calculation (PBE-GGA) on a geometry-optimized CuOs3F structure.

Geometry as POSCAR:
```
CuOs3F
1.0
4.513 0.000 0.000
0.000 4.513 0.000
0.000 0.000 4.513
Cu Os F
1 3 1
direct
0.000 0.000 0.000
0.000 0.000 0.500
0.000 0.500 0.000
0.500 0.000 0.000
0.500 0.500 0.500
```

Computed properties:
ΔE_f (raw) = 2438 meV/atom

[8]
VASP calculation (PBE-GGA) on a geometry-optimized CuOsF3 structure.

Geometry as POSCAR:
```
CuOsF3
1.0
4.149 0.000 0.000
0.000 4.149 0.000
0.000 0.000 4.149
Cu Os F
1 1 3
direct
0.000 0.000 0.000
0.500 0.500 0.500
0.000 0.500 0.500
0.500 0.000 0.500
0.500 0.500 0.000
```

Computed properties:
ΔE_f (raw) = -267 meV/atom

[9]
VASP calculation (PBE-GGA) on a geometry-optimized Cu3OsF structure.

Geometry as POSCAR:
```
Cu3OsF
1.0
4.014 0.000 0.000
0.000 4.014 0.000
0.000 0.000 4.014
Cu Os F
3 1 1
direct
0.000 0.000 0.500
0.000 0.500 0.000
0.500 0.000 0.000
0.500 0.500 0.500
0.000 0.000 0.000
```

Computed properties:
ΔE_f (raw) = 681 meV/atom

[10]
VASP calculation (PBE-GGA) on a geometry-optimized Cu3OsF structure.

Geometry as POSCAR:
```
Cu3OsF
1.0
4.657 0.000 0.000
0.000 4.657 0.000
0.000 0.000 4.657
Cu Os F
3 1 1
direct
0.000 0.000 0.500
0.000 0.500 0.000
0.500 0.000 0.000
0.000 0.000 0.000
0.500 0.500 0.500
```

Computed properties:
ΔE_f (raw) = 1240 meV/atom

[11]
VASP calculation (PBE-GGA) on a geometry-optimized Cu2OsF structure.

Geometry as POSCAR:
```
Cu2OsF
1.0
6.230 0.000 0.000
0.000 6.230 0.000
0.000 0.000 5.407
Cu Os F
8 4 4
direct
0.202 0.250 0.125
0.250 0.702 0.375
0.250 0.798 0.875
0.298 0.250 0.625
0.702 0.750 0.625
0.750 0.202 0.875
0.750 0.298 0.375
0.798 0.750 0.125
0.000 0.000 0.500
0.000 0.500 0.750
0.500 0.000 0.250
0.500 0.500 0.000
0.000 0.000 0.000
0.000 0.500 0.250
0.500 0.000 0.750
0.500 0.500 0.500
```

Computed properties:
ΔE_f (raw) = 497 meV/atom

[12]
VASP calculation (PBE-GGA) on a geometry-optimized Cu2OsF8 structure.

Geometry as POSCAR:
```
Cu2OsF8
1.0
4.843 0.000 0.000
-0.719 4.981 0.000
-1.083 -0.853 6.982
Cu Os F
2 1 8
direct
0.211 0.461 0.160
0.789 0.539 0.840
0.500 0.000 0.500
0.160 0.780 0.529
0.165 0.704 0.968
0.300 0.140 0.280
0.449 0.308 0.678
0.551 0.692 0.322
0.700 0.860 0.720
0.835 0.296 0.032
0.840 0.220 0.471
```

Computed properties:
ΔE_f (raw) = -1531 meV/atom

Q: Which value of ΔE_f (raw) does entry 4 give?
A: -1903 meV/atom

Q: What is the ΔE_f (raw) in the first record?
A: -2261 meV/atom

Q: What is the ΔE_f (raw) in the fifth record?
A: -1226 meV/atom

Q: The highest ΔE_f (raw) belongs to which entry?
A: CuOs3F